Crystalline Cs3Mn2Cl5F2 at its relaxed geometry. Source: Alexandria via LeMat-Bulk, functional GGA+U.

a = 12.8997 Å, b = 12.8997 Å, c = 12.8997 Å
α = 156.52°, β = 156.52°, γ = 33.44°
With the nearest neighbours (Å) after each atom.
Positions (direct):
Cs (0.0000, 0.0000, 0.0000)  12 Cl 3.67-3.71
Cs (0.1945, 0.1945, 0.0000)  1 F 2.90
Cs (0.8055, 0.8055, 0.0000)  1 F 2.90
Mn (0.3941, 0.3941, 0.0000)  1 F 2.04
Mn (0.6059, 0.6059, 0.0000)  1 F 2.04
Cl (0.1036, 0.6036, 0.5000)  2 Mn 2.62
Cl (0.3964, 0.8964, 0.5000)  2 Mn 2.62
Cl (0.5000, 0.5000, 0.0000)  2 Mn 2.62
Cl (0.6036, 0.1036, 0.5000)  2 Mn 2.62
Cl (0.8964, 0.3964, 0.5000)  2 Mn 2.62
F (0.3117, 0.3117, 0.0000)  1 Mn 2.04
F (0.6883, 0.6883, 0.0000)  1 Mn 2.04

Values from the calculation:
Its theoretical density is 3.5 g cm⁻³. The total energy is -4.49 eV/atom. The value obtained for the total magnetization is 10.00 Bohr magnetons per cell. The calculation puts the density of states at the Fermi level at 0.000 states/eV per atom. As for the crystal system: tetragonal.

Crystalline Cs2MoCl2F4 at its relaxed geometry. Source: Alexandria via LeMat-Bulk, functional GGA+U.

a = 6.8760 Å, b = 6.8760 Å, c = 6.8760 Å
α = 117.38°, β = 117.38°, γ = 94.60°
With the nearest neighbours (Å) after each atom.
Positions (direct):
Cs (0.2500, 0.7500, 0.5000)  8 F 3.48, 4 Cl 3.58
Cs (0.7500, 0.2500, 0.5000)  8 F 3.48, 4 Cl 3.58
Mo (0.0000, 0.0000, 0.0000)  4 F 1.98
Cl (0.2641, 0.2641, 0.0000)  1 Mo 2.46
Cl (0.7359, 0.7359, 0.0000)  1 Mo 2.46
F (0.1961, 0.1961, 0.3922)  1 Mo 1.98
F (0.1961, 0.8039, 0.0000)  1 Mo 1.98
F (0.8039, 0.1961, 0.0000)  1 Mo 1.98
F (0.8039, 0.8039, 0.6078)  1 Mo 1.98

Values from the calculation:
Its theoretical density is 3.5 g cm⁻³. The total energy is -4.58 eV/atom. The value obtained for the total magnetization is 2.00 Bohr magnetons per cell. The calculation puts the density of states at the Fermi level at 0.000 states/eV per atom. As for the crystal system: tetragonal.

Crystalline Cs2MoCl5F at its relaxed geometry. Source: Alexandria via LeMat-Bulk, functional GGA+U.

a = 7.4051 Å, b = 7.4051 Å, c = 7.4051 Å
α = 118.66°, β = 118.66°, γ = 92.33°
With the nearest neighbours (Å) after each atom.
Positions (direct):
Cs (0.0000, 0.5000, 0.5000)  10 Cl 3.70-3.78, 2 F 3.83
Cs (0.5000, 0.0000, 0.5000)  10 Cl 3.70-3.78, 2 F 3.83
Mo (0.2486, 0.2486, 0.0000)  1 F 1.97
Cl (0.0137, 0.0137, 0.0000)  1 Mo 2.41
Cl (0.0222, 0.0222, 0.5426)  1 Mo 2.44
Cl (0.0222, 0.4796, 0.0000)  1 Mo 2.44
Cl (0.4796, 0.0222, 0.0000)  1 Mo 2.44
Cl (0.4796, 0.4796, 0.4574)  1 Mo 2.44
F (0.4406, 0.4406, 0.0000)  1 Mo 1.97

Values from the calculation:
Its theoretical density is 3.2 g cm⁻³. The total energy is -3.87 eV/atom. The value obtained for the total magnetization is 2.00 Bohr magnetons per cell. The calculation puts the density of states at the Fermi level at 0.693 states/eV per atom. As for the crystal system: tetragonal.